Record 1
# ScAg2

ScAg2 after structural relaxation (GGA-PBEsol, Alexandria).

```
data_ScAg2
_chemical_formula_sum 'Sc4 Ag8'
_symmetry_space_group_name_H-M 'C m c m'
_symmetry_Int_Tables_number 63
_symmetry_space_group_name_Hall '-C 2c 2'
_cell_length_a 3.577
_cell_length_b 13.454
_cell_length_c 4.526
_cell_angle_alpha 90.00
_cell_angle_beta 90.00
_cell_angle_gamma 90.00
loop_
_atom_site_label
_atom_site_type_symbol
_atom_site_fract_x
_atom_site_fract_y
_atom_site_fract_z
Sc1 Sc 0.000 0.094 0.250
Ag1 Ag 0.000 0.237 0.750
Ag2 Ag 0.000 0.428 0.250
```

Results
Energy above the lowest structure with this stoichiometry in meV/atom: 99
Formation energy from the elements in eV per atom: -0.23
DOS(E_F) in states/eV/f.u.: 1.59
Crystal system: orthorhombic

---

Record 2
# Ca2Ni2Cl

Ca2Ni2Cl after structural relaxation (GGA-PBEsol, Alexandria).

```
data_Ca2Ni2Cl
_chemical_formula_sum 'Ca4 Ni4 Cl2'
_symmetry_space_group_name_H-M 'I 4/m m m'
_symmetry_Int_Tables_number 139
_symmetry_space_group_name_Hall '-I 4 2'
_cell_length_a 5.404
_cell_length_b 5.404
_cell_length_c 6.836
_cell_angle_alpha 90.00
_cell_angle_beta 90.00
_cell_angle_gamma 90.00
loop_
_atom_site_label
_atom_site_type_symbol
_atom_site_fract_x
_atom_site_fract_y
_atom_site_fract_z
Ca1 Ca 0.000 0.500 0.250
Ni1 Ni 0.000 0.000 0.162
Cl1 Cl 0.000 0.000 0.500
```

Results
Energy in Ry/atom: -0.28857
DOS(E_F) in states/eV/f.u.: 2.80
Crystal system: tetragonal

---

Record 3
# KInI2Cl

KInI2Cl after structural relaxation (GGA-PBEsol, Alexandria).

```
data_KInI2Cl
_chemical_formula_sum 'K1 In1 I2 Cl1'
_symmetry_space_group_name_H-M 'P 4/m m m'
_symmetry_Int_Tables_number 123
_symmetry_space_group_name_Hall '-P 4 2'
_cell_length_a 5.989
_cell_length_b 5.989
_cell_length_c 5.316
_cell_angle_alpha 90.00
_cell_angle_beta 90.00
_cell_angle_gamma 90.00
loop_
_atom_site_label
_atom_site_type_symbol
_atom_site_fract_x
_atom_site_fract_y
_atom_site_fract_z
K1 K 0.000 0.000 0.000
In1 In 0.500 0.500 0.500
I1 I 0.000 0.500 0.500
Cl1 Cl 0.500 0.500 0.000
```

Results
Energy in Ry/atom: -0.21341
DOS(E_F) in states/eV/f.u.: 1.05
Crystal system: tetragonal

---

Record 4
# Cs2DyCuCl6

Cs2DyCuCl6 after structural relaxation (GGA-PBEsol, Alexandria).

```
data_Cs2DyCuCl6
_chemical_formula_sum 'Cs8 Dy4 Cu4 Cl24'
_symmetry_space_group_name_H-M 'F m -3 m'
_symmetry_Int_Tables_number 225
_symmetry_space_group_name_Hall '-F 4 2 3'
_cell_length_a 10.245
_cell_length_b 10.245
_cell_length_c 10.245
_cell_angle_alpha 90.00
_cell_angle_beta 90.00
_cell_angle_gamma 90.00
loop_
_atom_site_label
_atom_site_type_symbol
_atom_site_fract_x
_atom_site_fract_y
_atom_site_fract_z
Cs1 Cs 0.250 0.250 0.250
Dy1 Dy 0.000 0.000 0.000
Cu1 Cu 0.000 0.000 0.500
Cl1 Cl 0.000 0.000 0.255
```

Results
Energy in Ry/atom: -0.30379
DOS(E_F) in states/eV/f.u.: 0.00
Crystal system: cubic

---

Record 5
# Y2CdSe

Y2CdSe after structural relaxation (GGA-PBEsol, Alexandria).

```
data_Y2CdSe
_chemical_formula_sum 'Y6 Cd3 Se3'
_symmetry_space_group_name_H-M 'R -3 m'
_symmetry_Int_Tables_number 166
_symmetry_space_group_name_Hall '-R 3 2"'
_cell_length_a 3.9036
_cell_length_b 3.9036
_cell_length_c 22.9556
_cell_angle_alpha 90.00
_cell_angle_beta 90.00
_cell_angle_gamma 120.00
loop_
_atom_site_label
_atom_site_type_symbol
_atom_site_fract_x
_atom_site_fract_y
_atom_site_fract_z
Y1 Y 0.0000 0.0000 0.2407
Cd1 Cd 0.0000 0.0000 0.0000
Se1 Se 0.0000 0.0000 0.5000
```

Results
Energy above the lowest structure with this stoichiometry in meV/atom: 0
DOS(E_F) in states/eV/f.u.: 2.05
Crystal system: trigonal

---

Record 6
# Ta2Ga2Mo

Ta2Ga2Mo after structural relaxation (GGA-PBEsol, Alexandria).

```
data_Ta2Ga2Mo
_chemical_formula_sum 'Ta4 Ga4 Mo2'
_symmetry_space_group_name_H-M 'P 4/m b m'
_symmetry_Int_Tables_number 127
_symmetry_space_group_name_Hall '-P 4 2ab'
_cell_length_a 6.690
_cell_length_b 6.690
_cell_length_c 3.512
_cell_angle_alpha 90.00
_cell_angle_beta 90.00
_cell_angle_gamma 90.00
loop_
_atom_site_label
_atom_site_type_symbol
_atom_site_fract_x
_atom_site_fract_y
_atom_site_fract_z
Ta1 Ta 0.174 0.326 0.000
Ga1 Ga 0.128 0.628 0.500
Mo1 Mo 0.000 0.000 0.500
```

Results
Formation energy from the elements in eV per atom: -0.24
DOS(E_F) in states/eV/f.u.: 1.32
Crystal system: tetragonal

---

Record 7
# K2LaSb

K2LaSb after structural relaxation (GGA-PBEsol, Alexandria).

```
data_K2LaSb
_chemical_formula_sum 'K2 La1 Sb1'
_symmetry_space_group_name_H-M 'P 4/m m m'
_symmetry_Int_Tables_number 123
_symmetry_space_group_name_Hall '-P 4 2'
_cell_length_a 4.775
_cell_length_b 4.775
_cell_length_c 6.259
_cell_angle_alpha 90.00
_cell_angle_beta 90.00
_cell_angle_gamma 90.00
loop_
_atom_site_label
_atom_site_type_symbol
_atom_site_fract_x
_atom_site_fract_y
_atom_site_fract_z
K1 K 0.000 0.500 0.000
La1 La 0.000 0.000 0.500
Sb1 Sb 0.500 0.500 0.500
```

Results
Energy in Ry/atom: -0.24372
DOS(E_F) in states/eV/f.u.: 2.80
Crystal system: tetragonal

---

Record 8
# Al2AsPS

Al2AsPS after structural relaxation (GGA-PBEsol, Alexandria).

```
data_Al2AsPS
_chemical_formula_sum 'Al2 As1 P1 S1'
_symmetry_space_group_name_H-M 'P 4/m m m'
_symmetry_Int_Tables_number 123
_symmetry_space_group_name_Hall '-P 4 2'
_cell_length_a 4.703
_cell_length_b 4.703
_cell_length_c 4.327
_cell_angle_alpha 90.00
_cell_angle_beta 90.00
_cell_angle_gamma 90.00
loop_
_atom_site_label
_atom_site_type_symbol
_atom_site_fract_x
_atom_site_fract_y
_atom_site_fract_z
Al1 Al 0.000 0.500 0.000
As1 As 0.000 0.000 0.500
P1 P 0.500 0.500 0.000
S1 S 0.500 0.500 0.500
```

Results
Energy in Ry/atom: -0.32023
DOS(E_F) in states/eV/f.u.: 1.95
Crystal system: tetragonal